No. 1
A relaxed structure of KBa2PtO4. Source: Alexandria via LeMat-Bulk, functional PBE-GGA.

Geometry as POSCAR:
```
KBa2PtO4
1.0
0.0000 6.4255 10.8591
3.1258 0.0000 10.8591
3.1258 6.4255 0.0000
K Ba Pt O
2 4 2 8
Direct
0.1250 0.1250 0.1250
0.8750 0.8750 0.8750
0.0657 0.0657 0.6843
0.3157 0.3157 0.9343
0.6843 0.6843 0.0657
0.9343 0.9343 0.3157
0.3750 0.3750 0.3750
0.6250 0.6250 0.6250
0.0374 0.6766 0.4705
0.3155 0.4705 0.6766
0.3234 0.9626 0.6845
0.4705 0.3155 0.0374
0.5295 0.6845 0.9626
0.6766 0.0374 0.3155
0.6845 0.5295 0.3234
0.9626 0.3234 0.5295
```


No. 2
A relaxed structure of RePRhO2. Source: Alexandria via LeMat-Bulk, functional PBE-GGA.

Geometry as POSCAR:
```
RePRhO2
1.0
3.6967 0.0000 0.0000
0.0000 3.6967 0.0000
0.0000 0.0000 5.6559
Re P Rh O
1 1 1 2
Direct
0.0000 0.0000 0.0000
0.5000 0.5000 0.0000
0.5000 0.5000 0.5000
0.0000 0.5000 0.5000
0.5000 0.0000 0.5000
```


No. 3
A relaxed structure of AcCoTcP2. Source: Alexandria via LeMat-Bulk, functional PBE-GGA.

Geometry as POSCAR:
```
AcCoTcP2
1.0
-1.9782 1.9782 5.8066
1.9782 -1.9782 5.8066
1.9782 1.9782 -5.8066
Ac Co Tc P
1 1 1 2
Direct
0.0000 0.0000 0.0000
0.7500 0.2500 0.5000
0.2500 0.7500 0.5000
0.3512 0.3512 0.0000
0.6488 0.6488 0.0000
```


No. 4
A relaxed structure of Sc2CdHg4. Source: Alexandria via LeMat-Bulk, functional PBE-GGA.

Geometry as POSCAR:
```
Sc2CdHg4
1.0
2.4407 1.4091 7.9040
-2.4407 1.4091 7.9040
0.0000 -2.8182 7.9040
Sc Cd Hg
2 1 4
Direct
0.2451 0.2451 0.2451
0.7549 0.7549 0.7549
0.5000 0.5000 0.5000
0.1144 0.1144 0.1144
0.3684 0.3684 0.3684
0.6316 0.6316 0.6316
0.8856 0.8856 0.8856
```


No. 5
A relaxed structure of GaNi5Ir. Source: Alexandria via LeMat-Bulk, functional PBE-GGA.

Geometry as POSCAR:
```
GaNi5Ir
1.0
2.5145 -3.5423 0.0000
2.5145 3.5423 0.0000
0.0000 0.0000 5.0079
Ga Ni Ir
1 5 1
Direct
0.0000 0.0000 0.0000
0.0000 0.5000 0.2544
0.0000 0.5000 0.7456
0.5000 0.0000 0.2544
0.5000 0.0000 0.7456
0.5000 0.5000 0.0000
0.5000 0.5000 0.5000
```


No. 6
A relaxed structure of Tb12Dy7Tl. Source: Alexandria via LeMat-Bulk, functional PBE-GGA.

Geometry as POSCAR:
```
Tb12Dy7Tl
1.0
5.9902 3.4585 5.1816
-5.9902 3.4585 5.1816
0.0000 -6.9169 5.1816
Tb Dy Tl
12 7 1
Direct
0.0003 0.3595 0.8851
0.9997 0.6405 0.1149
0.1149 0.9997 0.6405
0.2417 0.7534 0.3643
0.2466 0.6357 0.7583
0.3595 0.8851 0.0003
0.3643 0.2417 0.7534
0.6357 0.7583 0.2466
0.6405 0.1149 0.9997
0.7534 0.3643 0.2417
0.7583 0.2466 0.6357
0.8851 0.0003 0.3595
0.0000 0.0000 0.0000
0.1103 0.3529 0.4311
0.3529 0.4311 0.1103
0.4311 0.1103 0.3529
0.5689 0.8897 0.6471
0.6471 0.5689 0.8897
0.8897 0.6471 0.5689
0.5000 0.5000 0.5000
```


No. 7
A relaxed structure of CaAcPrAg. Source: Alexandria via LeMat-Bulk, functional PBE-GGA.

Geometry as POSCAR:
```
CaAcPrAg
1.0
0.0000 4.0583 4.0583
4.0583 0.0000 4.0583
4.0583 4.0583 0.0000
Ca Ac Pr Ag
1 1 1 1
Direct
0.0000 0.0000 0.0000
0.7500 0.7500 0.7500
0.5000 0.5000 0.5000
0.2500 0.2500 0.2500
```


No. 8
A relaxed structure of BaGaO2. Source: Alexandria via LeMat-Bulk, functional PBE-GGA.

Geometry as POSCAR:
```
BaGaO2
1.0
1.6202 0.9354 7.0160
-1.6202 0.9354 7.0160
0.0000 -1.8709 7.0160
Ba Ga O
1 1 2
Direct
0.0000 0.0000 0.0000
0.5000 0.5000 0.5000
0.1205 0.1205 0.1205
0.8795 0.8795 0.8795
```


| no. | DFT total energy (eV/atom) |
| --- | --- |
| 1 | -5.09 |
| 2 | -6.48 |
| 3 | -7.40 |
| 4 | -2.32 |
| 5 | -5.86 |
| 6 | -4.33 |
| 7 | -3.26 |
| 8 | -4.97 |